No. 1
DFT (PBE-GGA) results for Nb4W after structural relaxation.

The structure in POSCAR format:
```
Nb4W
1.0
-0.396 0.518 -5.953
5.787 -1.453 -0.511
-1.310 -5.094 -0.356
W Nb
2 8
Direct
0.000 0.000 0.750 W
0.000 0.000 0.250 W
0.813 0.367 0.500 Nb
0.187 0.633 0.500 Nb
0.367 0.187 0.500 Nb
0.633 0.187 0.000 Nb
0.187 0.367 0.000 Nb
0.633 0.813 0.500 Nb
0.367 0.813 0.000 Nb
0.813 0.633 0.000 Nb
```

- Fermi-level density of states: 12.5 states/eV/cell
- Formation energy from the elements: 43.2 kJ/mol of atoms
- Distance to the lowest polymorph of the same formula: 0.000 eV/atom
- Space-group type: No. 124
- Crystal system: tetragonal

No. 2
DFT (PBE-GGA) results for TeMo2 after structural relaxation.

The structure in POSCAR format:
```
TeMo2
1.0
2.397 -4.151 0.000
2.397 4.151 0.000
0.000 0.000 5.368
Mo Te
4 2
Direct
0.000 0.000 0.000 Mo
0.333 0.667 0.250 Mo
0.000 0.000 0.500 Mo
0.667 0.333 0.750 Mo
0.667 0.333 0.250 Te
0.333 0.667 0.750 Te
```

- Fermi-level density of states: 8.1 states/eV/cell
- Distance to the lowest polymorph of the same formula: 0.592 eV/atom
- Space-group type: No. 194
- Crystal system: hexagonal

No. 3
DFT (PBE-GGA) results for FeNiW2 after structural relaxation.

The structure in POSCAR format:
```
FeNiW2
1.0
-3.137 -3.488 0.498
1.575 -4.045 -1.847
1.863 3.125 3.001
W Ni Fe
2 1 1
Direct
0.000 0.000 0.000 W
0.750 0.250 0.500 W
0.250 0.750 0.500 Ni
0.500 0.500 0.000 Fe
```

- Fermi-level density of states: 6.3 states/eV/cell
- Formation energy from the elements: 21.0 kJ/mol of atoms
- Distance to the lowest polymorph of the same formula: 0.142 eV/atom
- Space-group type: No. 119
- Crystal system: tetragonal

No. 4
DFT (PBE-GGA) results for DySc2Au4 after structural relaxation.

The structure in POSCAR format:
```
DySc2Au4
1.0
4.815 0.000 0.000
0.000 4.815 0.000
0.000 0.000 6.742
Dy Sc Au
1 2 4
Direct
0.500 0.500 0.000 Dy
0.500 0.500 0.500 Sc
0.000 0.000 0.000 Sc
0.500 0.000 0.737 Au
0.000 0.500 0.737 Au
0.500 0.000 0.263 Au
0.000 0.500 0.263 Au
```

- Fermi-level density of states: 6.0 states/eV/cell
- Formation energy from the elements: -57.1 kJ/mol of atoms
- Space-group type: No. 123
- Crystal system: tetragonal

No. 5
DFT (PBE-GGA) results for CrCd2Cl after structural relaxation.

The structure in POSCAR format:
```
CrCd2Cl
1.0
-2.761 -2.909 7.062
3.075 -7.298 -1.804
2.605 -4.382 3.884
Cd Cr Cl
4 2 2
Direct
0.875 0.880 0.750 Cd
0.630 0.125 0.250 Cd
0.375 0.370 0.750 Cd
0.120 0.625 0.250 Cd
0.000 0.000 0.000 Cr
0.750 0.250 0.500 Cr
0.250 0.750 0.500 Cl
0.500 0.500 0.000 Cl
```

- Fermi-level density of states: 3.1 states/eV/cell
- Distance to the lowest polymorph of the same formula: 0.188 eV/atom
- Space-group type: No. 122
- Crystal system: tetragonal

No. 6
DFT (PBE-GGA) results for Mo2Ru2Au after structural relaxation.

The structure in POSCAR format:
```
Mo2Ru2Au
1.0
-3.089 2.661 6.418
1.112 -6.744 3.331
2.528 0.845 0.866
Mo Ru Au
4 4 2
Direct
0.865 0.635 0.000 Mo
0.635 0.135 0.000 Mo
0.135 0.365 0.000 Mo
0.365 0.865 0.000 Mo
0.343 0.157 0.500 Ru
0.843 0.343 0.500 Ru
0.157 0.657 0.500 Ru
0.657 0.843 0.500 Ru
0.000 0.000 0.000 Au
0.500 0.500 0.000 Au
```

- Fermi-level density of states: 7.0 states/eV/cell
- Formation energy from the elements: 23.2 kJ/mol of atoms
- Distance to the lowest polymorph of the same formula: 0.094 eV/atom
- Space-group type: No. 127
- Crystal system: tetragonal

No. 7
DFT (PBE-GGA) results for SmPN3 after structural relaxation.

The structure in POSCAR format:
```
SmPN3
1.0
2.952 -0.001 0.000
-1.475 5.873 0.000
0.000 0.000 7.082
N Sm P
6 2 2
Direct
0.154 0.808 0.578 N
0.846 0.192 0.078 N
0.521 0.541 0.250 N
0.154 0.808 0.922 N
0.479 0.459 0.750 N
0.846 0.192 0.422 N
0.793 0.086 0.750 Sm
0.207 0.914 0.250 Sm
0.938 0.375 0.250 P
0.062 0.625 0.750 P
```

- Fermi-level density of states: 4.4 states/eV/cell
- E: -0.5426 Ry/atom
- Space-group type: No. 63
- Crystal system: orthorhombic

No. 8
DFT (PBE-GGA) results for CaCrFe2P after structural relaxation.

The structure in POSCAR format:
```
CaCrFe2P
1.0
4.468 0.000 0.000
0.000 4.492 0.000
0.000 0.000 4.468
P Fe Cr Ca
1 2 1 1
Direct
0.500 0.500 0.500 P
0.000 0.000 0.500 Fe
0.500 0.000 0.000 Fe
0.000 0.500 0.000 Cr
0.000 0.000 0.000 Ca
```

- Fermi-level density of states: 8.4 states/eV/cell
- Formation energy from the elements: 227.3 kJ/mol of atoms
- Space-group type: No. 123
- Crystal system: tetragonal

No. 9
DFT (PBE-GGA) results for NaTbEr after structural relaxation.

The structure in POSCAR format:
```
NaTbEr
1.0
6.432 1.798 0.591
4.690 4.795 -0.041
2.483 -0.771 9.221
Na Er Tb
2 2 2
Direct
0.963 0.702 0.947 Na
0.272 0.938 0.907 Na
0.975 0.023 0.600 Er
0.260 0.617 0.254 Er
0.941 0.386 0.299 Tb
0.294 0.254 0.555 Tb
```

- Fermi-level density of states: 8.4 states/eV/cell
- Formation energy from the elements: 15.4 kJ/mol of atoms
- Distance to the lowest polymorph of the same formula: 0.017 eV/atom
- Space-group type: No. 2
- Crystal system: triclinic

No. 10
DFT (PBE-GGA) results for DyPuSc6 after structural relaxation.

The structure in POSCAR format:
```
DyPuSc6
1.0
-1.865 5.256 3.361
-3.385 -0.477 -5.542
-0.743 -5.381 3.591
Sc Pu Dy
6 1 1
Direct
0.240 0.754 0.754 Sc
0.246 0.760 0.246 Sc
0.246 0.246 0.760 Sc
0.754 0.754 0.240 Sc
0.754 0.240 0.754 Sc
0.760 0.246 0.246 Sc
0.000 0.000 0.000 Pu
0.500 0.500 0.500 Dy
```

- Fermi-level density of states: 16.4 states/eV/cell
- Formation energy from the elements: 23.0 kJ/mol of atoms
- Distance to the lowest polymorph of the same formula: 0.168 eV/atom
- Space-group type: No. 166
- Crystal system: trigonal

No. 11
DFT (PBE-GGA) results for Ce4CdB3Rh12 after structural relaxation.

The structure in POSCAR format:
```
Ce4CdB3Rh12
1.0
-4.102 2.873 5.687
-1.197 -7.469 -0.455
7.354 1.306 1.279
Rh B Cd Ce
12 3 1 4
Direct
0.718 0.000 0.718 Rh
0.250 0.500 0.750 Rh
0.250 0.750 0.500 Rh
0.500 0.750 0.250 Rh
0.750 0.250 0.500 Rh
0.000 0.718 0.718 Rh
0.282 0.282 0.000 Rh
0.500 0.250 0.750 Rh
0.000 0.282 0.282 Rh
0.282 0.000 0.282 Rh
0.750 0.500 0.250 Rh
0.718 0.718 0.000 Rh
0.500 0.500 0.000 B
0.500 0.000 0.500 B
0.000 0.500 0.500 B
0.000 0.000 0.000 Cd
0.000 0.500 0.000 Ce
0.000 0.000 0.500 Ce
0.500 0.000 0.000 Ce
0.500 0.500 0.500 Ce
```

- Fermi-level density of states: 13.3 states/eV/cell
- Formation energy from the elements: -49.5 kJ/mol of atoms
- Space-group type: No. 229
- Crystal system: cubic

No. 12
DFT (PBE-GGA) results for FeIr2Au after structural relaxation.

The structure in POSCAR format:
```
FeIr2Au
1.0
-1.526 -1.432 4.269
0.734 -2.948 3.657
2.666 2.829 2.832
Ir Fe Au
2 1 1
Direct
0.743 0.743 0.784 Ir
0.000 0.000 0.984 Ir
0.255 0.255 0.248 Fe
0.502 0.502 0.484 Au
```

- Fermi-level density of states: 4.5 states/eV/cell
- Formation energy from the elements: 21.4 kJ/mol of atoms
- Distance to the lowest polymorph of the same formula: 0.096 eV/atom
- Space-group type: No. 8
- Crystal system: monoclinic

> What is the formula in the seventh record?

SmPN3

> What is the formula in the fifth record?

CrCd2Cl

> Fermi-level density of states of number 3 (FeNiW2)?

6.3 states/eV/cell

> Number 8 is which compound?

CaCrFe2P